VASP calculation (PBE) on a geometry-optimized LaSb12Os4 structure.

a b c (Å): 8.156 8.156 8.156
angles (deg): 109.47 109.47 109.47
Atoms (fractional coordinates):
Sb 0.661 0.503 0.843
Sb 0.497 0.157 0.339
Sb 0.843 0.339 0.182
Sb 0.339 0.497 0.157
Sb 0.157 0.339 0.497
Sb 0.843 0.661 0.503
Sb 0.818 0.157 0.661
Sb 0.157 0.661 0.818
Sb 0.503 0.843 0.661
Sb 0.661 0.818 0.157
Sb 0.182 0.843 0.339
Sb 0.339 0.182 0.843
La 0.000 0.000 0.000
Os 0.000 0.500 0.000
Os 0.500 0.000 0.000
Os 0.000 0.000 0.500
Os 0.500 0.500 0.500

Summary:
Fermi-level density of states	15.4	states/eV/cell
symmetry	No. 204
uncorrected energy	-6.04	eV per atom